--- w ---
# HoTm3Ag2 (GGA-PBE, relaxed)
# Calculated volume, Å³ per atom: 29.27
data_HoTm3Ag2
_chemical_formula_sum 'Ho4 Tm12 Ag8'
_cell_length_a 6.9689
_cell_length_b 13.8227
_cell_length_c 7.2925
_cell_angle_alpha 90.00
_cell_angle_beta 90.00
_cell_angle_gamma 90.00
_symmetry_space_group_name_H-M 'I b a m'
_symmetry_Int_Tables_number 72
_symmetry_space_group_name_Hall '-I 2 2c'
loop_
_atom_site_label
_atom_site_type_symbol
_atom_site_fract_x
_atom_site_fract_y
_atom_site_fract_z
Ho1 Ho 0.0000 0.0000 0.0000
Tm1 Tm 0.0000 0.2286 0.2500
Tm2 Tm 0.0000 0.5000 0.2500
Ag1 Ag 0.2007 0.3577 0.0000


--- x ---
# HoTm3Ag2 (GGA-PBE, relaxed)
# Calculated volume, Å³ per atom: 25.73
data_HoTm3Ag2
_chemical_formula_sum 'Ho1 Tm3 Ag2'
_cell_length_a 3.5702
_cell_length_b 3.5702
_cell_length_c 12.1099
_cell_angle_alpha 90.00
_cell_angle_beta 90.00
_cell_angle_gamma 90.00
_symmetry_space_group_name_H-M 'P 4/m m m'
_symmetry_Int_Tables_number 123
_symmetry_space_group_name_Hall '-P 4 2'
loop_
_atom_site_label
_atom_site_type_symbol
_atom_site_fract_x
_atom_site_fract_y
_atom_site_fract_z
Ho1 Ho 0.0000 0.0000 0.0000
Tm1 Tm 0.5000 0.5000 0.2015
Tm2 Tm 0.5000 0.5000 0.5000
Ag1 Ag 0.0000 0.0000 0.3508


Stability summary: most stable x, least stable w.


--- w ---
# Ho4TmAg (GGA-PBE, relaxed)
# Calculated volume, Å³ per atom: 28.54
data_Ho4TmAg
_chemical_formula_sum 'Ho4 Tm1 Ag1'
_cell_length_a 3.5152
_cell_length_b 3.5152
_cell_length_c 13.8571
_cell_angle_alpha 90.00
_cell_angle_beta 90.00
_cell_angle_gamma 90.00
_symmetry_space_group_name_H-M 'P 4/m m m'
_symmetry_Int_Tables_number 123
_symmetry_space_group_name_Hall '-P 4 2'
loop_
_atom_site_label
_atom_site_type_symbol
_atom_site_fract_x
_atom_site_fract_y
_atom_site_fract_z
Ho1 Ho 0.0000 0.0000 0.1388
Ho2 Ho 0.5000 0.5000 0.3217
Tm1 Tm 0.0000 0.0000 0.5000
Ag1 Ag 0.5000 0.5000 0.0000


--- x ---
# Ho4TmAg (GGA-PBE, relaxed)
# Calculated volume, Å³ per atom: 29.47
data_Ho4TmAg
_chemical_formula_sum 'Ho16 Tm4 Ag4'
_cell_length_a 5.3802
_cell_length_b 20.6549
_cell_length_c 6.3635
_cell_angle_alpha 90.00
_cell_angle_beta 90.00
_cell_angle_gamma 90.00
_symmetry_space_group_name_H-M 'C m c 21'
_symmetry_Int_Tables_number 36
loop_
_symmetry_equiv_pos_as_xyz
'x,y,z'
'-x,-y,z+1/2'
'-x,y,z'
'x,-y,z+1/2'
'x+1/2,y+1/2,z'
'-x+1/2,-y+1/2,z+1/2'
'-x+1/2,y+1/2,z'
'x+1/2,-y+1/2,z+1/2'
loop_
_atom_site_label
_atom_site_type_symbol
_atom_site_fract_x
_atom_site_fract_y
_atom_site_fract_z
Ho1 Ho 0.0000 0.0354 0.0000
Ho2 Ho 0.0000 0.1772 0.8071
Ho3 Ho 0.0000 0.2437 0.2932
Ho4 Ho 0.0000 0.4345 0.1679
Tm1 Tm 0.0000 0.3648 0.6653
Ag1 Ag 0.0000 0.1032 0.4097


Stability summary: most stable w, least stable x.


--- w ---
# Ho2Tm2Ag (GGA-PBE, relaxed)
# Calculated volume, Å³ per atom: 27.83
data_Ho2Tm2Ag
_chemical_formula_sum 'Ho4 Tm4 Ag2'
_cell_length_a 3.5036
_cell_length_b 3.5036
_cell_length_c 22.6704
_cell_angle_alpha 90.00
_cell_angle_beta 90.00
_cell_angle_gamma 90.00
_symmetry_space_group_name_H-M 'I 4/m m m'
_symmetry_Int_Tables_number 139
_symmetry_space_group_name_Hall '-I 4 2'
loop_
_atom_site_label
_atom_site_type_symbol
_atom_site_fract_x
_atom_site_fract_y
_atom_site_fract_z
Ho1 Ho 0.0000 0.0000 0.1953
Tm1 Tm 0.0000 0.0000 0.4168
Ag1 Ag 0.0000 0.0000 0.0000


--- x ---
# Ho2Tm2Ag (GGA-PBE, relaxed)
# Calculated volume, Å³ per atom: 29.87
data_Ho2Tm2Ag
_chemical_formula_sum 'Ho8 Tm8 Ag4'
_cell_length_a 4.9768
_cell_length_b 4.9768
_cell_length_c 24.1216
_cell_angle_alpha 90.00
_cell_angle_beta 90.00
_cell_angle_gamma 90.00
_symmetry_space_group_name_H-M 'I 41/a m d'
_symmetry_Int_Tables_number 141
loop_
_symmetry_equiv_pos_as_xyz
'x,y,z'
'-x,-y,-z'
'-y+1/4,x+3/4,z+1/4'
'y+1/4,-x+3/4,-z+1/4'
'-x+1/2,-y,z+1/2'
'x+1/2,y,-z+1/2'
'y+1/4,-x+1/4,z+3/4'
'-y+1/4,x+1/4,-z+3/4'
'x,-y,-z'
'-x,y,z'
'-y+1/4,-x+1/4,-z+3/4'
'y+1/4,x+1/4,z+3/4'
'-x+1/2,y,-z+1/2'
'x+1/2,-y,z+1/2'
'y+1/4,x+3/4,-z+1/4'
'-y+1/4,-x+3/4,z+1/4'
'x+1/2,y+1/2,z+1/2'
'-x+1/2,-y+1/2,-z+1/2'
'-y+3/4,x+1/4,z+3/4'
'y+3/4,-x+1/4,-z+3/4'
'-x,-y+1/2,z'
'x,y+1/2,-z'
'y+3/4,-x+3/4,z+1/4'
'-y+3/4,x+3/4,-z+1/4'
'x+1/2,-y+1/2,-z+1/2'
'-x+1/2,y+1/2,z+1/2'
'-y+3/4,-x+3/4,-z+1/4'
'y+3/4,x+3/4,z+1/4'
'-x,y+1/2,-z'
'x,-y+1/2,z'
'y+3/4,x+1/4,-z+3/4'
'-y+3/4,-x+1/4,z+3/4'
loop_
_atom_site_label
_atom_site_type_symbol
_atom_site_fract_x
_atom_site_fract_y
_atom_site_fract_z
Ho1 Ho 0.0000 0.2500 0.0501
Tm1 Tm 0.0000 0.2500 0.1986
Ag1 Ag 0.0000 0.2500 0.8750


Stability summary: most stable w, least stable x.


--- w ---
# YHoAg (GGA-PBE, relaxed)
# Calculated volume, Å³ per atom: 26.95
data_YHoAg
_chemical_formula_sum 'Y2 Ho2 Ag2'
_cell_length_a 3.5969
_cell_length_b 3.5969
_cell_length_c 12.5007
_cell_angle_alpha 90.00
_cell_angle_beta 90.00
_cell_angle_gamma 90.00
_symmetry_space_group_name_H-M 'I 4 m m'
_symmetry_Int_Tables_number 107
_symmetry_space_group_name_Hall 'I 4 -2'
loop_
_atom_site_label
_atom_site_type_symbol
_atom_site_fract_x
_atom_site_fract_y
_atom_site_fract_z
Y1 Y 0.0000 0.0000 0.0000
Ho1 Ho 0.0000 0.0000 0.2972
Ag1 Ag 0.0000 0.0000 0.6519


--- x ---
# YHoAg (GGA-PBE, relaxed)
# Calculated volume, Å³ per atom: 27.58
data_YHoAg
_chemical_formula_sum 'Y4 Ho4 Ag4'
_cell_length_a 8.8437
_cell_length_b 5.0980
_cell_length_c 7.9171
_cell_angle_alpha 90.00
_cell_angle_beta 111.98
_cell_angle_gamma 90.00
_symmetry_space_group_name_H-M 'C 1 m 1'
_symmetry_Int_Tables_number 8
loop_
_symmetry_equiv_pos_as_xyz
'x,y,z'
'x,-y,z'
'x+1/2,y+1/2,z'
'x+1/2,-y+1/2,z'
loop_
_atom_site_label
_atom_site_type_symbol
_atom_site_fract_x
_atom_site_fract_y
_atom_site_fract_z
Y1 Y 0.0000 0.0000 0.0000
Y2 Y 0.1659 0.0000 0.4962
Ho1 Ho 0.0812 0.5000 0.7438
Ho2 Ho 0.2463 0.5000 0.2375
Ag1 Ag 0.3047 0.0000 0.9144
Ag2 Ag 0.4416 0.0000 0.3231


--- y ---
# YHoAg (GGA-PBE, relaxed)
# Calculated volume, Å³ per atom: 29.78
data_YHoAg
_chemical_formula_sum 'Y4 Ho4 Ag4'
_cell_length_a 10.0442
_cell_length_b 5.0277
_cell_length_c 7.0773
_cell_angle_alpha 90.00
_cell_angle_beta 90.00
_cell_angle_gamma 90.00
_symmetry_space_group_name_H-M 'P n m a'
_symmetry_Int_Tables_number 62
loop_
_symmetry_equiv_pos_as_xyz
'x,y,z'
'-x,-y,-z'
'-x+1/2,-y,z+1/2'
'x+1/2,y,-z+1/2'
'x+1/2,-y+1/2,-z+1/2'
'-x+1/2,y+1/2,z+1/2'
'-x,y+1/2,-z'
'x,-y+1/2,z'
loop_
_atom_site_label
_atom_site_type_symbol
_atom_site_fract_x
_atom_site_fract_y
_atom_site_fract_z
Y1 Y 0.1263 0.2500 0.0097
Ho1 Ho 0.1237 0.2500 0.5097
Ag1 Ag 0.1254 0.7500 0.2555


Stability summary: most stable w, least stable y.


--- w ---
# YHoAg (GGA-PBE, relaxed)
# Calculated volume, Å³ per atom: 26.91
data_YHoAg
_chemical_formula_sum 'Y1 Ho1 Ag1'
_cell_length_a 5.0434
_cell_length_b 5.0434
_cell_length_c 3.6651
_cell_angle_alpha 90.00
_cell_angle_beta 90.00
_cell_angle_gamma 120.00
_symmetry_space_group_name_H-M 'P 3 m 1'
_symmetry_Int_Tables_number 156
loop_
_symmetry_equiv_pos_as_xyz
'x,y,z'
'-y,x-y,z'
'-x+y,-x,z'
'-y,-x,z'
'-x+y,y,z'
'x,x-y,z'
loop_
_atom_site_label
_atom_site_type_symbol
_atom_site_fract_x
_atom_site_fract_y
_atom_site_fract_z
Y1 Y 0.0000 0.0000 0.0000
Ho1 Ho 0.3333 0.6667 0.5400
Ag1 Ag 0.6667 0.3333 0.2854


--- x ---
# YHoAg (GGA-PBE, relaxed)
# Calculated volume, Å³ per atom: 26.88
data_YHoAg
_chemical_formula_sum 'Y4 Ho4 Ag4'
_cell_length_a 7.0498
_cell_length_b 5.0495
_cell_length_c 9.0625
_cell_angle_alpha 90.00
_cell_angle_beta 90.00
_cell_angle_gamma 90.00
_symmetry_space_group_name_H-M 'P n m a'
_symmetry_Int_Tables_number 62
loop_
_symmetry_equiv_pos_as_xyz
'x,y,z'
'-x,-y,-z'
'-x+1/2,-y,z+1/2'
'x+1/2,y,-z+1/2'
'x+1/2,-y+1/2,-z+1/2'
'-x+1/2,y+1/2,z+1/2'
'-x,y+1/2,-z'
'x,-y+1/2,z'
loop_
_atom_site_label
_atom_site_type_symbol
_atom_site_fract_x
_atom_site_fract_y
_atom_site_fract_z
Y1 Y 0.0166 0.2500 0.1845
Ho1 Ho 0.1512 0.2500 0.5777
Ag1 Ag 0.2398 0.2500 0.8977


Stability summary: most stable x, least stable w.